{
  "formula": "HfHRh3",
  "functional": "GGA-PBE",
  "state": "optimized geometry",
  "lattice_angstrom": [[-2.548, 0.408, -1.298], [3.041, 2.973, -5.035], [-1.558, -6.313, 1.074]],
  "species": ["H", "Rh", "Rh", "Rh", "Hf"],
  "fractional_positions": [[0.000, 0.449, 0.551], [0.000, 0.260, 0.740], [0.500, 0.165, 0.334], [0.500, 0.666, 0.835], [0.500, 0.088, 0.912]],
  "polymorph_energy_mev_per_atom": 1083,
  "total_magnetization_mub_per_atom": 0.000,
  "total_energy_ev_per_fu": -33.39,
  "spacegroup": "Amm2",
  "crystal_system": "orthorhombic"
}

=====

{
  "formula": "HoGe2Ru2",
  "functional": "GGA-PBE",
  "state": "optimized geometry",
  "lattice_angstrom": [[-1.134, 0.454, -5.640], [4.450, -0.578, -3.628], [-2.157, -2.906, 4.496]],
  "species": ["Ru", "Ru", "Ho", "Ge", "Ge"],
  "fractional_positions": [[0.250, 0.750, 0.500], [0.750, 0.250, 0.500], [0.000, 0.000, 0.000], [0.630, 0.630, 0.000], [0.370, 0.370, 0.000]],
  "delta_e_f_ev_per_atom": -0.646,
  "total_magnetization_mub_per_atom": 0.000,
  "total_energy_ev_per_fu": -35.60,
  "spacegroup": "I4/mmm",
  "crystal_system": "tetragonal"
}

=====

{
  "formula": "CsBr2O",
  "functional": "GGA-PBE",
  "state": "optimized geometry",
  "lattice_angstrom": [[-6.415, -2.462, 0.733], [1.486, -5.165, -4.343], [-0.708, -7.061, 2.659]],
  "species": ["Cs", "Cs", "Br", "Br", "Br", "Br", "O", "O"],
  "fractional_positions": [[0.750, 0.250, 0.500], [0.000, 0.000, 0.000], [0.875, 0.626, 0.750], [0.374, 0.625, 0.250], [0.376, 0.125, 0.250], [0.375, 0.624, 0.750], [0.500, 0.500, 0.000], [0.250, 0.750, 0.500]],
  "polymorph_energy_mev_per_atom": 0,
  "total_magnetization_mub_per_atom": 0.000,
  "total_energy_ev_per_fu": -11.24,
  "spacegroup": "I4_1/amd",
  "crystal_system": "tetragonal",
  "e_form_raw_ev_per_atom": -0.521
}